Density functional theory data (GGA-PBE) for a geometry-optimized CrTePt2 structure.

The calculation puts the density of states at the Fermi level at 0.7888 states/eV/atom. The raw formation energy is 0.11 eV/atom. The total energy comes out at -24.40 eV/cell.

It has space group P4/mmm (No. 123), with a = 2.873 Å, b = 2.873 Å, c = 8.414 Å, α = 90.00°, β = 90.00° and γ = 90.00°. The asymmetric unit holds Cr at (0.000, 0.000, 0.000), Te at (0.000, 0.000, 0.500) and Pt at (0.500, 0.500, 0.202).